# 1
# AlReNi14

An optimized crystal structure of AlReNi14 (GGA-PBE, Alexandria).

- Mass density: 9.6 g cm⁻³
- E_form: -103 meV/atom

Cell: 5.036 5.036 7.065 Å, 90.00 90.00 90.00°
Positions (direct):
Al1 0.000 0.000 0.000
Re1 0.500 0.500 0.000
Ni1 0.000 0.000 0.500
Ni2 0.000 0.500 0.000
Ni3 0.000 0.500 0.500
Ni4 0.251 0.251 0.253
Ni5 0.251 0.251 0.747
Ni6 0.251 0.749 0.253
Ni7 0.251 0.749 0.747
Ni8 0.500 0.000 0.000
Ni9 0.500 0.000 0.500
Ni10 0.500 0.500 0.500
Ni11 0.749 0.251 0.253
Ni12 0.749 0.251 0.747
Ni13 0.749 0.749 0.253
Ni14 0.749 0.749 0.747

=====

# 2
# Al2Re2Ni

An optimized crystal structure of Al2Re2Ni (GGA-PBE, Alexandria).

- Mass density: 9.7 g cm⁻³
- E_form: 458 meV/atom
- E above lowest polymorph: 0.367 eV/atom

Cell: 7.108 7.108 7.108 Å, 151.23 151.23 41.13°
Positions (direct):
Al1 0.096 0.096 0.000
Al2 0.904 0.904 0.000
Re1 0.250 0.750 0.500
Re2 0.750 0.250 0.500
Ni1 0.500 0.500 0.000